No. 1
This record from the Alexandria database describes a geometry-optimized Fe3RuN structure. The functional is PBE-GGA.

Values from the calculation:
Space group ... No. 221
E_form (uncorrected) ... 0.087 eV/atom

Unit cell a=3.8205 b=3.8205 c=3.8205 alpha=90.00 beta=90.00 gamma=90.00
Last column: nearest neighbours and their distance in Å.
Element x y z (fractional)
Fe 0.0000 0.0000 0.5000  2 N 1.91
Fe 0.0000 0.5000 0.0000  2 N 1.91
Fe 0.5000 0.0000 0.0000  2 N 1.91
Ru 0.5000 0.5000 0.5000  12 Fe 2.70
N 0.0000 0.0000 0.0000  6 Fe 1.91

***

No. 2
This record from the Alexandria database describes a geometry-optimized Th2Np2Te7 structure. The functional is PBE-GGA.

Values from the calculation:
Space group ... No. 44
E_form (uncorrected) ... -0.945 eV/atom

Unit cell a=9.6664 b=9.6664 c=9.6664 alpha=153.79 beta=67.54 gamma=119.00
Last column: nearest neighbours and their distance in Å.
Element x y z (fractional)
Th 0.2408 0.0000 0.2408  7 Te 3.12-3.30
Th 0.7592 0.0000 0.7592  7 Te 3.12-3.30
Np 0.3211 0.8211 0.5000  8 Te 3.10-3.27
Np 0.7740 0.7740 0.0000  7 Te 3.06-3.27
Te 0.0239 0.7027 0.3211  1 Np 3.10, 3 Th 3.12-3.19
Te 0.0860 0.0860 0.0000  3 Np 3.06-3.18
Te 0.3816 0.7027 0.6789  1 Np 3.10, 3 Th 3.12-3.19
Te 0.3841 0.4928 0.8913  2 Th 3.26, 3 Np 3.27, 1 Te 3.49
Te 0.6016 0.4928 0.1087  2 Th 3.26, 3 Np 3.27, 1 Te 3.49
Te 0.6670 0.3086 0.3583  2 Np 3.18, 2 Th 3.30
Te 0.9503 0.3086 0.6417  2 Np 3.18, 2 Th 3.30

***

No. 3
This record from the Alexandria database describes a geometry-optimized Y3TlOs structure. The functional is PBE-GGA.

Values from the calculation:
Space group ... No. 69
E_form ... -28.2 kJ per mole of atoms

Unit cell a=9.5443 b=8.8500 c=5.8659 alpha=77.97 beta=65.08 gamma=36.95
Last column: nearest neighbours and their distance in Å.
Element x y z (fractional)
Y 0.1973 0.5760 0.4240  2 Os 2.84
Y 0.2009 0.2009 0.7991  4 Os 3.04, 2 Y 3.34
Y 0.4240 0.8027 0.1973  2 Os 2.84
Y 0.5760 0.1973 0.8027  2 Os 2.84
Y 0.7991 0.7991 0.2009  4 Os 3.04, 2 Y 3.34
Y 0.8027 0.4240 0.5760  2 Os 2.84
Tl 0.2164 0.7836 0.7836  1 Tl 2.85
Tl 0.7836 0.2164 0.2164  1 Tl 2.85
Os 0.2500 0.2500 0.2500  8 Y 2.84-3.04
Os 0.7500 0.7500 0.7500  8 Y 2.84-3.04

***

No. 4
This record from the Alexandria database describes a geometry-optimized SbAsP2 structure. The functional is PBE-GGA.

Values from the calculation:
Space group ... No. 122
E_form (uncorrected) ... 0.374 eV/atom

Unit cell a=6.2945 b=6.2945 c=6.2945 alpha=115.63 beta=115.63 gamma=97.75
Last column: nearest neighbours and their distance in Å.
Element x y z (fractional)
Sb 0.0000 0.0000 0.0000  4 P 2.69
Sb 0.7500 0.2500 0.5000  4 P 2.69
As 0.2500 0.7500 0.5000  4 P 2.48
As 0.5000 0.5000 0.0000  4 P 2.48
P 0.1492 0.6250 0.0242  2 As 2.48, 2 Sb 2.69
P 0.3750 0.3992 0.5242  2 As 2.48, 2 Sb 2.69
P 0.6008 0.1250 0.9758  2 As 2.48, 2 Sb 2.69
P 0.8750 0.8508 0.4758  2 As 2.48, 2 Sb 2.69

***

No. 5
This record from the Alexandria database describes a geometry-optimized TbHf2Sc9 structure. The functional is PBE-GGA.

Values from the calculation:
Space group ... No. 191
E_form ... 2.5 kJ per mole of atoms

Unit cell a=10.2999 b=10.2999 c=3.2347 alpha=90.00 beta=90.00 gamma=120.00
Last column: nearest neighbours and their distance in Å.
Element x y z (fractional)
Tb 0.0000 0.0000 0.0000  2 Tb 3.23
Hf 0.3333 0.6667 0.0000  9 Sc 2.97-3.15, 2 Hf 3.23
Hf 0.6667 0.3333 0.0000  9 Sc 2.97-3.15, 2 Hf 3.23
Sc 0.0000 0.5000 0.0000  2 Hf 2.97, 10 Sc 3.23-3.28
Sc 0.1818 0.3636 0.5000  2 Hf 3.15, 8 Sc 3.23-3.28
Sc 0.1818 0.8182 0.5000  2 Hf 3.15, 8 Sc 3.23-3.28
Sc 0.3636 0.1818 0.5000  2 Hf 3.15, 8 Sc 3.23-3.28
Sc 0.5000 0.0000 0.0000  2 Hf 2.97, 10 Sc 3.23-3.28
Sc 0.5000 0.5000 0.0000  2 Hf 2.97, 10 Sc 3.23-3.28
Sc 0.6364 0.8182 0.5000  2 Hf 3.15, 8 Sc 3.23-3.28
Sc 0.8182 0.1818 0.5000  2 Hf 3.15, 8 Sc 3.23-3.28
Sc 0.8182 0.6364 0.5000  2 Hf 3.15, 8 Sc 3.23-3.28

***

No. 6
This record from the Alexandria database describes a geometry-optimized CdAgRu structure. The functional is PBE-GGA.

Values from the calculation:
Space group ... No. 156
E_form ... 34.2 kJ per mole of atoms

Unit cell a=2.8728 b=2.8728 c=7.1829 alpha=90.00 beta=90.00 gamma=120.00
Last column: nearest neighbours and their distance in Å.
Element x y z (fractional)
Cd 0.0000 0.0000 0.0000  6 Cd 2.87, 3 Ru 2.87, 3 Ag 3.01
Ag 0.3333 0.6667 0.6507  3 Ru 2.86, 6 Ag 2.87, 3 Cd 3.01
Ru 0.6667 0.3333 0.3266  3 Ag 2.86, 6 Ru 2.87, 3 Cd 2.87

***

No. 7
This record from the Alexandria database describes a geometry-optimized La5TbTm2 structure. The functional is PBE-GGA.

Values from the calculation:
Space group ... No. 140
E_form ... 12.8 kJ per mole of atoms

Unit cell a=9.2267 b=9.2267 c=9.2267 alpha=119.33 beta=119.33 gamma=91.16
Last column: nearest neighbours and their distance in Å.
Element x y z (fractional)
La 0.0000 0.0000 0.0000  2 Tb 3.23, 4 Tm 3.57
La 0.0175 0.5175 0.2012  3 La 3.41-3.52, 3 Tm 3.46-3.49, 2 Tb 3.71
La 0.1837 0.9825 0.5000  3 La 3.41-3.52, 3 Tm 3.46-3.49, 2 Tb 3.71
La 0.3163 0.8163 0.7988  3 La 3.41-3.52, 3 Tm 3.46-3.49, 2 Tb 3.71
La 0.4825 0.6837 0.5000  3 La 3.41-3.52, 3 Tm 3.46-3.49, 2 Tb 3.71
La 0.5000 0.5000 0.0000  2 Tb 3.23, 4 Tm 3.57
La 0.5175 0.3163 0.5000  3 La 3.41-3.52, 3 Tm 3.46-3.49, 2 Tb 3.71
La 0.6837 0.1837 0.2012  3 La 3.41-3.52, 3 Tm 3.46-3.49, 2 Tb 3.71
La 0.8163 0.0175 0.5000  3 La 3.41-3.52, 3 Tm 3.46-3.49, 2 Tb 3.71
La 0.9825 0.4825 0.7988  3 La 3.41-3.52, 3 Tm 3.46-3.49, 2 Tb 3.71
Tb 0.2500 0.2500 0.0000  2 La 3.23
Tb 0.7500 0.7500 0.0000  2 La 3.23
Tm 0.1455 0.3545 0.5000  8 La 3.46-3.57, 1 Tm 3.84
Tm 0.3545 0.8545 0.2089  8 La 3.46-3.57, 1 Tm 3.84
Tm 0.6455 0.1455 0.7911  8 La 3.46-3.57, 1 Tm 3.84
Tm 0.8545 0.6455 0.5000  8 La 3.46-3.57, 1 Tm 3.84

***

No. 8
This record from the Alexandria database describes a geometry-optimized KRbSO4 structure. The functional is PBE-GGA.

Values from the calculation:
Space group ... No. 63
E_form (uncorrected) ... -1.862 eV/atom

Unit cell a=5.9756 b=5.9756 c=8.1856 alpha=90.00 beta=90.00 gamma=119.26
Last column: nearest neighbours and their distance in Å.
Element x y z (fractional)
K 0.0000 0.0000 0.0000  6 O 2.80-2.82
K 0.0000 0.0000 0.5000  6 O 2.80-2.82
Rb 0.3139 0.6861 0.7500  6 O 2.93-3.07
Rb 0.6861 0.3139 0.2500  6 O 2.93-3.07
S 0.3431 0.6569 0.2500  4 O 1.49-1.50
S 0.6569 0.3431 0.7500  4 O 1.49-1.50
O 0.2249 0.3697 0.2500  1 S 1.50
O 0.2588 0.7412 0.1018  1 S 1.49
O 0.2588 0.7412 0.3982  1 S 1.49
O 0.3697 0.2249 0.7500  1 S 1.50
O 0.6303 0.7751 0.2500  1 S 1.50
O 0.7412 0.2588 0.6018  1 S 1.49
O 0.7412 0.2588 0.8982  1 S 1.49
O 0.7751 0.6303 0.7500  1 S 1.50